# 1
Material: LiPdI
Method: DFT, PBE-GGA
State: optimized geometry

Lattice parameters (Å, degrees): 14.641 4.611 4.611 118.66 138.90 41.10
Element x y z (fractional)
I  0.290  0.211  0.866
I  0.710  0.866  0.211
Pd  0.917  0.980  0.375
Pd  0.083  0.375  0.980
Li  0.500  0.524  0.524
Li  0.000  0.151  0.151

- Crystal system: monoclinic
- E_form (uncorrected): -151 kJ/mol of formula units
- Total DFT energy (no corrections): -3.41 eV per atom
- Density of states at the Fermi level: 0.00 states/eV/cell
- Polymorph energy (0 for the lowest one): 0.036 eV/atom

=====

# 2
Material: Li2Nd2Cd15
Method: DFT, PBE-GGA
State: optimized geometry

Lattice parameters (Å, degrees): 7.646 7.646 7.646 82.14 82.14 82.14
Element x y z (fractional)
Li  0.099  0.099  0.099
Li  0.901  0.901  0.901
Nd  0.336  0.336  0.336
Nd  0.664  0.664  0.664
Cd  0.500  0.000  0.000
Cd  0.000  0.000  0.500
Cd  0.000  0.500  0.000
Cd  0.000  0.705  0.295
Cd  0.705  0.295  0.000
Cd  0.295  0.000  0.705
Cd  0.295  0.705  0.000
Cd  0.705  0.000  0.295
Cd  0.000  0.295  0.705
Cd  0.156  0.642  0.642
Cd  0.642  0.642  0.156
Cd  0.642  0.156  0.642
Cd  0.844  0.358  0.358
Cd  0.358  0.358  0.844
Cd  0.358  0.844  0.358

- Formation energy from the elements: -3.5 eV per formula unit
- Crystal system: trigonal
- Total DFT energy (no corrections): -1.61 eV per atom
- Density of states at the Fermi level: 8.08 states/eV/cell

=====

# 3
Material: Nd3ScGa4
Method: DFT, PBE-GGA
State: optimized geometry

Lattice parameters (Å, degrees): 3.592 3.592 14.644 90.00 90.00 90.00
Element x y z (fractional)
Sc  0.500  0.500  0.000
Nd  0.500  0.500  0.237
Nd  0.500  0.500  0.500
Nd  0.500  0.500  0.763
Ga  0.000  0.000  0.899
Ga  0.000  0.000  0.101
Ga  0.000  0.000  0.368
Ga  0.000  0.000  0.632

- Formation energy from the elements: -4.5 eV per formula unit
- Crystal system: tetragonal
- Total DFT energy (no corrections): -4.66 eV per atom
- Density of states at the Fermi level: 3.28 states/eV/cell

=====

# 4
Material: TlSb3Pb3
Method: DFT, PBE-GGA
State: optimized geometry

Lattice parameters (Å, degrees): 8.605 8.605 8.605 90.00 90.00 90.00
Element x y z (fractional)
Pb  0.250  0.000  0.500
Pb  0.000  0.500  0.250
Pb  0.500  0.750  0.000
Pb  0.750  0.000  0.500
Pb  0.000  0.500  0.750
Pb  0.500  0.250  0.000
Sb  0.000  0.250  0.500
Sb  0.000  0.750  0.500
Sb  0.500  0.000  0.750
Sb  0.750  0.500  0.000
Sb  0.500  0.000  0.250
Sb  0.250  0.500  0.000
Tl  0.500  0.500  0.500
Tl  0.000  0.000  0.000

- Crystal system: cubic
- E_form (uncorrected): 176 kJ/mol of formula units
- Total DFT energy (no corrections): -3.43 eV per atom
- Density of states at the Fermi level: 8.86 states/eV/cell
- Polymorph energy (0 for the lowest one): 0.224 eV/atom

=====

# 5
Material: BaCu3Pd
Method: DFT, PBE-GGA
State: optimized geometry

Lattice parameters (Å, degrees): 4.863 4.863 4.863 90.00 90.00 90.00
Element x y z (fractional)
Cu  0.000  0.500  0.000
Cu  0.000  0.000  0.500
Cu  0.500  0.000  0.000
Ba  0.500  0.500  0.500
Pd  0.000  0.000  0.000

- Formation energy from the elements: 0.6 eV per formula unit
- Crystal system: cubic
- Total DFT energy (no corrections): -3.77 eV per atom
- Density of states at the Fermi level: 1.46 states/eV/cell

=====

# 6
Material: In2CuAu2
Method: DFT, PBE-GGA
State: optimized geometry

Lattice parameters (Å, degrees): 7.384 7.384 3.836 90.00 90.00 90.00
Element x y z (fractional)
Au  0.138  0.638  0.500
Au  0.638  0.862  0.500
Au  0.862  0.362  0.500
Au  0.362  0.138  0.500
Cu  0.000  0.000  0.000
Cu  0.500  0.500  0.000
In  0.334  0.834  0.000
In  0.834  0.666  0.000
In  0.666  0.166  0.000
In  0.166  0.334  0.000

- Formation energy from the elements: 0.4 eV per formula unit
- Crystal system: tetragonal
- Total DFT energy (no corrections): -3.15 eV per atom
- Density of states at the Fermi level: 2.88 states/eV/cell
- Polymorph energy (0 for the lowest one): 0.158 eV/atom

=====

- The highest total DFT energy (no corrections) belongs to which entry?
  Li2Nd2Cd15

=====

- density of states at the Fermi level of number 2 (Li2Nd2Cd15)?
  8.08 states/eV/cell

=====

- Which value of density of states at the Fermi level does entry 5 give?
  1.46 states/eV/cell